1.
# Hf8MnSn2, relaxed, DFT PBE
data_Hf8MnSn2
_chemical_formula_sum 'Hf16 Mn2 Sn4'
_cell_length_a 16.539
_cell_length_b 4.894
_cell_length_c 6.102
_cell_angle_alpha 90.00
_cell_angle_beta 107.25
_cell_angle_gamma 90.00
_space_group_name_H-M_alt 'C 1 2/m 1'
_space_group_IT_number 12
loop_
_space_group_symop_operation_xyz
'x,y,z'
'-x,-y,-z'
'-x,y,-z'
'x,-y,z'
'x+1/2,y+1/2,z'
'-x+1/2,-y+1/2,-z'
'-x+1/2,y+1/2,-z'
'x+1/2,-y+1/2,z'
loop_
_atom_site_label
_atom_site_fract_x
_atom_site_fract_y
_atom_site_fract_z
Hf1 0.012 0.000 0.251
Hf2 0.096 0.500 0.769
Hf3 0.138 0.500 0.307
Hf4 0.215 0.000 0.123
Mn1 0.000 0.500 0.000
Sn1 0.173 0.000 0.618
# - raw total energy (Ry/atom) = -0.6508


2.
# BaNiSe, relaxed, DFT PBE
data_BaNiSe
_chemical_formula_sum 'Ba4 Ni4 Se4'
_cell_length_a 4.312
_cell_length_b 4.678
_cell_length_c 16.689
_cell_angle_alpha 90.00
_cell_angle_beta 90.00
_cell_angle_gamma 90.00
_space_group_name_H-M_alt 'A m m 2'
_space_group_IT_number 38
loop_
_space_group_symop_operation_xyz
'x,y,z'
'-x,-y,z'
'-x,y,z'
'x,-y,z'
'x,y+1/2,z+1/2'
'-x,-y+1/2,z+1/2'
'-x,y+1/2,z+1/2'
'x,-y+1/2,z+1/2'
loop_
_atom_site_label
_atom_site_fract_x
_atom_site_fract_y
_atom_site_fract_z
Ba1 0.000 0.000 0.000
Ba2 0.000 0.000 0.266
Ni1 0.000 0.000 0.629
Ni2 0.500 0.000 0.708
Se1 0.500 0.000 0.572
Se2 0.500 0.000 0.847
# - raw total energy (Ry/atom) = -0.3432
# - ΔE_f (raw) (meV/atom) = -940


3.
# CaInP2F, relaxed, DFT PBE
data_CaInP2F
_chemical_formula_sum 'Ca1 In1 P2 F1'
_cell_length_a 5.462
_cell_length_b 5.462
_cell_length_c 4.141
_cell_angle_alpha 90.00
_cell_angle_beta 90.00
_cell_angle_gamma 90.00
_space_group_name_H-M_alt 'P 4/m m m'
_space_group_IT_number 123
_space_group_name_Hall '-P 4 2'
loop_
_atom_site_label
_atom_site_fract_x
_atom_site_fract_y
_atom_site_fract_z
Ca1 0.000 0.000 0.000
In1 0.500 0.500 0.500
P1 0.000 0.500 0.000
F1 0.000 0.000 0.500
# - raw total energy (Ry/atom) = -0.2849
# - ΔE_f (raw) (meV/atom) = -389